V2Bi4O11 | GGA+U | relaxed

Properties
- Total energy: -110.37 eV per formula unit
- SG: P1, No. 1

abc: 5.832 6.946 8.615
angles: 76.25 73.98 70.45
Element x y z (fractional)
V 0.000 0.000 0.000
V 0.116 0.677 0.612
Bi 0.122 0.468 0.052
Bi 0.455 0.854 0.244
Bi 0.542 0.854 0.707
Bi 0.607 0.284 0.352
O 0.155 0.101 0.817
O 0.212 0.759 0.064
O 0.293 0.590 0.424
O 0.322 0.635 0.744
O 0.377 0.277 0.202
O 0.546 0.930 0.449
O 0.733 0.948 0.994
O 0.762 0.560 0.224
O 0.882 0.565 0.718
O 0.948 0.162 0.146
O 0.963 0.932 0.571